[1]
{
  "formula": "CoAsOsO",
  "functional": "PBE+U",
  "state": "relaxed",
  "m_tot_mub_per_fu": 0.529,
  "lattice_angstrom": [[3.677, 0.000, 0.000], [0.000, 3.677, 0.000], [0.000, 0.000, 6.827]],
  "species": ["Co", "Co", "As", "As", "Os", "Os", "O", "O"],
  "frac_coords": [[0.250, 0.750, 0.000], [0.750, 0.250, 0.000], [0.250, 0.250, 0.203], [0.750, 0.750, 0.797], [0.250, 0.250, 0.691], [0.750, 0.750, 0.309], [0.250, 0.750, 0.500], [0.750, 0.250, 0.500]]
}

[2]
{
  "formula": "PaCoAsO",
  "functional": "PBE+U",
  "state": "relaxed",
  "m_tot_mub_per_fu": 2.659,
  "lattice_angstrom": [[4.070, 0.000, 0.000], [0.000, 4.070, 0.000], [0.000, 0.000, 9.795]],
  "species": ["Pa", "Pa", "Co", "Co", "As", "As", "O", "O"],
  "frac_coords": [[0.250, 0.750, 0.000], [0.750, 0.250, 0.000], [0.250, 0.250, 0.466], [0.750, 0.750, 0.534], [0.250, 0.250, 0.209], [0.750, 0.750, 0.791], [0.250, 0.750, 0.500], [0.750, 0.250, 0.500]]
}

Final energy (hartree per atom)
-0.2518 -0.2125